This record from the Alexandria database describes a relaxed structure of LaCd2Ge2. The functional is PBE-GGA.

It has space group I4/mmm (No. 139), with a = 4.335 Å, b = 4.335 Å, c = 12.474 Å, α = 90.00°, β = 90.00° and γ = 90.00°. The inequivalent atoms are La at (0.000, 0.000, 0.000), Cd at (0.000, 0.500, 0.250) and Ge at (0.000, 0.000, 0.398).

For the density, the calculation gives 7.2 g/cm³. As for the energy of formation: -2.02 eV/f.u. The calculation puts the excess energy over the best structure of this formula in the dataset at 0.000 eV/atom. The energy is -36.03 eV per cell. Its size of the total moment is 0.00 Bohr magnetons per cell.

=====

This record from the Alexandria database describes a relaxed structure of La2Cd3Ge2. The functional is PBE-GGA.

It has space group Cmmm (No. 65), with a = 3.993 Å, b = 21.526 Å, c = 4.277 Å, α = 90.00°, β = 90.00° and γ = 90.00°. The inequivalent atoms are La at (0.000, 0.167, 0.000), Cd at (0.000, 0.000, 0.000), Cd at (0.000, 0.432, 0.500) and Ge at (0.000, 0.287, 0.500).

For the density, the calculation gives 6.9 g/cm³. As for the energy of formation: -3.27 eV/f.u. The energy is -50.22 eV per cell. Its size of the total moment is 0.00 Bohr magnetons per cell.

=====

This record from the Alexandria database describes a relaxed structure of LaCdGe2. The functional is PBE-GGA.

It has space group Pnma (No. 62), with a = 14.497 Å, b = 4.410 Å, c = 11.891 Å, α = 90.00°, β = 90.00° and γ = 90.00°. The inequivalent atoms are La at (0.046, 0.250, 0.236), La at (0.202, 0.750, 0.945), Cd at (0.061, 0.250, 0.548), Cd at (0.203, 0.750, 0.649), Ge at (0.036, 0.250, 0.966), Ge at (0.115, 0.250, 0.774), Ge at (0.135, 0.750, 0.426) and Ge at (0.198, 0.750, 0.223).

For the density, the calculation gives 6.9 g/cm³. As for the energy of formation: -1.93 eV/f.u. The energy is -136.07 eV per cell. Its size of the total moment is 0.00 Bohr magnetons per cell.

=====

This record from the Alexandria database describes a relaxed structure of La2CdGe4. The functional is PBE-GGA.

It has space group I4/mmm (No. 139), with a = 5.089 Å, b = 5.089 Å, c = 15.138 Å, α = 90.00°, β = 90.00° and γ = 90.00°. The inequivalent atoms are La at (0.000, 0.000, 0.130), Cd at (0.000, 0.000, 0.500), Ge at (0.000, 0.000, 0.329) and Ge at (0.000, 0.500, 0.000).

For the density, the calculation gives 5.8 g/cm³. As for the energy of formation: -0.55 eV/f.u. The energy is -59.57 eV per cell. Its size of the total moment is 0.00 Bohr magnetons per cell.

=====

This record from the Alexandria database describes a relaxed structure of La2CdGe3. The functional is PBE-GGA.

It has space group Pnma (No. 62), with a = 7.100 Å, b = 4.493 Å, c = 19.052 Å, α = 90.00°, β = 90.00° and γ = 90.00°. The inequivalent atoms are La at (0.179, 0.250, 0.083), La at (0.193, 0.250, 0.300), Cd at (0.052, 0.750, 0.437), Ge at (0.007, 0.750, 0.185), Ge at (0.133, 0.250, 0.691) and Ge at (0.242, 0.750, 0.966).

For the density, the calculation gives 6.6 g/cm³. As for the energy of formation: -4.09 eV/f.u. The energy is -114.84 eV per cell. Its size of the total moment is 0.00 Bohr magnetons per cell.

=====

This record from the Alexandria database describes a relaxed structure of LaCdGe2. The functional is PBE-GGA.

It has space group I-42d (No. 122), with a = 4.856 Å, b = 4.856 Å, c = 18.351 Å, α = 90.00°, β = 90.00° and γ = 90.00°. The inequivalent atoms are La at (0.000, 0.000, 0.000), Cd at (0.000, 0.000, 0.500) and Ge at (0.142, 0.250, 0.625).

For the density, the calculation gives 6.1 g/cm³. As for the energy of formation: -0.73 eV/f.u. The energy is -63.22 eV per cell. Its size of the total moment is 0.00 Bohr magnetons per cell.

=====

This record from the Alexandria database describes a relaxed structure of La5Cd2Ge2. The functional is PBE-GGA.

It has space group Cmce (No. 64), with a = 16.956 Å, b = 8.054 Å, c = 8.075 Å, α = 90.00°, β = 90.00° and γ = 90.00°. The inequivalent atoms are La at (0.000, 0.000, 0.000), La at (0.127, 0.186, 0.321), Cd at (0.220, 0.000, 0.000) and Ge at (0.000, 0.118, 0.620).

For the density, the calculation gives 6.4 g/cm³. As for the energy of formation: -4.69 eV/f.u. The energy is -161.55 eV per cell. Its size of the total moment is 0.00 Bohr magnetons per cell.

=====

This record from the Alexandria database describes a relaxed structure of LaCd2Ge. The functional is PBE-GGA.

It has space group P4/mmm (No. 123), with a = 4.441 Å, b = 4.441 Å, c = 5.079 Å, α = 90.00°, β = 90.00° and γ = 90.00°. The inequivalent atoms are La at (0.000, 0.000, 0.000), Cd at (0.000, 0.500, 0.500) and Ge at (0.500, 0.500, 0.000).

For the density, the calculation gives 7.2 g/cm³. As for the energy of formation: -1.59 eV/f.u. The energy is -12.96 eV per cell. Its size of the total moment is 0.00 Bohr magnetons per cell.

=====

Q: Look up the energy of formation of the first one.
A: -2.02 eV/f.u.